Entry 1:
Below is crystalline Na2Rh2I at its relaxed geometry, with properties calculated at the PBE level.

Calculated values
- Total magnetization: 0.000 μB/cell
- Energy relative to the elements, uncorrected: 0.76 eV/f.u.
- D(E_F): 7.67 states/eV per cell

Cell: 6.7175 6.7175 4.7846 Å, 90.00 90.00 90.00°
With the nearest neighbours (Å) after each atom.
Atoms (fractional coordinates):
Na: 0.1618 0.3382 0.0000  6 Rh 3.03-3.15, 1 Na 3.07
Na: 0.3382 0.8382 0.0000  6 Rh 3.03-3.15, 1 Na 3.07
Na: 0.6618 0.1618 0.0000  6 Rh 3.03-3.15, 1 Na 3.07
Na: 0.8382 0.6618 0.0000  6 Rh 3.03-3.15, 1 Na 3.07
Rh: 0.1430 0.6430 0.5000  2 I 2.58, 1 Rh 2.72
Rh: 0.3570 0.1430 0.5000  2 I 2.58, 1 Rh 2.72
Rh: 0.6430 0.8570 0.5000  2 I 2.58, 1 Rh 2.72
Rh: 0.8570 0.3570 0.5000  2 I 2.58, 1 Rh 2.72
I: 0.0000 0.0000 0.5000  4 Rh 2.58
I: 0.5000 0.5000 0.5000  4 Rh 2.58



Entry 2:
Below is crystalline Na2Rh2I at its relaxed geometry, with properties calculated at the PBE level.

Calculated values
- Total magnetization: 0.000 μB/cell
- Energy relative to the elements, uncorrected: 3.18 eV/f.u.
- D(E_F): 5.13 states/eV per cell

Cell: 7.8222 7.8222 7.8222 Å, 152.71 152.71 38.97°
With the nearest neighbours (Å) after each atom.
Atoms (fractional coordinates):
Na: 0.2500 0.7500 0.5000  4 Na 2.61
Na: 0.7500 0.2500 0.5000  4 Na 2.61
Rh: 0.0921 0.0921 0.0000  1 Rh 2.72, 4 I 2.94, 4 Na 2.97
Rh: 0.9079 0.9079 0.0000  1 Rh 2.72, 4 I 2.94, 4 Na 2.97
I: 0.5000 0.5000 0.0000  8 Rh 2.94



Entry 3:
Below is crystalline NaRh3I at its relaxed geometry, with properties calculated at the PBE level.

Calculated values
- Total magnetization: 3.087 μB/cell
- Energy relative to the elements, uncorrected: 8.00 eV/f.u.
- D(E_F): 3.41 states/eV per cell

Cell: 4.6776 4.6776 4.6776 Å, 90.00 90.00 90.00°
With the nearest neighbours (Å) after each atom.
Atoms (fractional coordinates):
Na: 0.0000 0.0000 0.0000  6 Rh 2.34
Rh: 0.0000 0.0000 0.5000  2 Na 2.34
Rh: 0.0000 0.5000 0.0000  2 Na 2.34
Rh: 0.5000 0.0000 0.0000  2 Na 2.34
I: 0.5000 0.5000 0.5000  12 Rh 3.31



Entry 4:
Below is crystalline NaRhI3 at its relaxed geometry, with properties calculated at the PBE level.

Calculated values
- Total magnetization: 3.000 μB/cell
- Energy relative to the elements, uncorrected: 2.91 eV/f.u.
- D(E_F): 13.64 states/eV per cell

Cell: 5.8045 5.8045 5.8045 Å, 90.00 90.00 90.00°
With the nearest neighbours (Å) after each atom.
Atoms (fractional coordinates):
Na: 0.0000 0.0000 0.0000  6 I 2.90
Rh: 0.5000 0.5000 0.5000  12 I 4.10
I: 0.0000 0.0000 0.5000  2 Na 2.90
I: 0.0000 0.5000 0.0000  2 Na 2.90
I: 0.5000 0.0000 0.0000  2 Na 2.90



Sequential offset from the most stable computed form output: 0.00, 2.42, 3.91, 4.66 eV per formula unit